(1)
## HfSb2HI (PBE)

Data for an optimized crystal structure of HfSb2HI.

The structure in extended XYZ format:
```
5
Lattice="-1.389 -4.022 -1.269 2.322 -1.845 3.305 -4.411 0.464 3.358" Properties=species:S:1:pos:R:3 pbc="T T T"
Sb -0.695 -2.011 -0.634
Sb 1.161 -0.922 1.653
I -2.205 0.232 1.679
Hf -1.739 -2.701 2.697
H 0.000 0.000 0.000
```

- energy (eV for the cell shown) = -20.87
- energy above the lowest structure with this stoichiometry (eV/atom) = 0.000
- DOS at the Fermi energy (states/eV/cell) = 3.839

(2)
## HfHSeI (PBE)

Data for an optimized crystal structure of HfHSeI.

The structure in extended XYZ format:
```
4
Lattice="-1.607 -0.494 -3.268 3.524 -0.929 0.475 -2.177 -6.155 4.059" Properties=species:S:1:pos:R:3 pbc="T T T"
H 1.094 -1.585 -0.859
Se 1.136 -6.214 3.945
I -1.273 -2.620 0.461
Hf -0.575 -1.305 -2.147
```

- energy (eV for the cell shown) = -22.06
- DOS at the Fermi energy (states/eV/cell) = 0.000

(3)
## HfTcHI2 (PBE)

Data for an optimized crystal structure of HfTcHI2.

The structure in extended XYZ format:
```
5
Lattice="-0.918 -2.488 5.152 -3.484 -2.991 -2.065 4.081 -3.942 -1.176" Properties=species:S:1:pos:R:3 pbc="T T T"
H -0.161 -4.710 0.955
I -0.459 -1.244 2.576
Hf 0.000 0.000 0.000
I 2.040 -1.971 -0.588
Tc -1.742 -1.496 -1.033
```

- energy (eV for the cell shown) = -21.83
- DOS at the Fermi energy (states/eV/cell) = 0.701